(1)
This record from Alexandria describes an optimized crystal structure of Pr6Sm3HoTm2. The functional is PBE.

Cell lengths 6.3260, 10.9581, 11.9423 Å; angles 90.00, 100.14, 90.00 degrees
Closest atoms and distances in Å follow each position.
Space group C2/m (No. 12)
Inequivalent atoms, fractional coordinates:
Pr (0.2489, 0.0000, 0.2462) x4  1 Ho 3.58, 2 Tm 3.58, 6 Pr 3.65-3.66, 3 Sm 3.65
Pr (0.2493, 0.3332, 0.2463) x8  2 Tm 3.58, 1 Ho 3.58, 6 Pr 3.65-3.66, 3 Sm 3.65
Sm (0.0000, 0.0000, 0.5000) x2  6 Sm 3.65, 6 Pr 3.65
Sm (0.0000, 0.3333, 0.5000) x4  6 Pr 3.65, 6 Sm 3.65
Ho (0.0000, 0.5000, 0.0000) x2  6 Pr 3.58, 6 Tm 3.65
Tm (0.0000, 0.1666, 0.0000) x4  6 Pr 3.58, 3 Tm 3.65, 3 Ho 3.65

Values from the calculation:
Volume ... 814.9 Å³/cell
Magnetization ... 0.00 μB/atom
Electronic total energy ... -4.6820 eV per atom

***

(2)
This record from Alexandria describes an optimized crystal structure of PrSm6HoTm2. The functional is PBE.

Cell lengths 9.2953, 15.1101, 9.5582 Å; angles 90.00, 96.30, 90.00 degrees
Closest atoms and distances in Å follow each position.
Space group C2/c (No. 15)
Inequivalent atoms, fractional coordinates:
Pr (0.0000, 0.0314, 0.2500) x4  4 Tm 3.42-3.51, 6 Sm 3.58-3.76
Sm (0.0631, 0.1782, 0.9443) x8  7 Sm 3.45-3.77, 1 Tm 3.53, 2 Pr 3.69-3.76
Sm (0.0947, 0.3883, 0.1167) x8  4 Sm 3.25-3.58, 3 Tm 3.31-3.47, 2 Ho 3.44-3.54
Sm (0.2172, 0.2253, 0.3170) x8  3 Sm 3.25-3.62, 1 Ho 3.45, 2 Tm 3.46-3.63, 1 Pr 3.58
Ho (0.0000, 0.4108, 0.7500) x4  6 Sm 3.44-3.54, 2 Tm 3.52
Tm (0.2471, 0.4505, 0.4502) x8  6 Sm 3.31-3.63, 2 Pr 3.42-3.51, 1 Ho 3.52

Values from the calculation:
Volume ... 1334.4 Å³/cell
Magnetization ... 0.00 μB/atom
Electronic total energy ... -4.5444 eV per atom